Entry from OQMD: an optimized crystal structure of CoH8C4O8 (GGA+U).

abc: 7.938 7.938 6.401
angles: 94.86 94.86 114.54
Fractional coordinates of all 42 atoms:
Co (0.000, 0.500, 0.000)
Co (0.500, 0.000, 0.500)
H (0.011, 0.255, 0.252)
H (0.052, 0.349, 0.618)
H (0.080, 0.208, 0.042)
H (0.151, 0.650, 0.399)
H (0.208, 0.080, 0.542)
H (0.255, 0.011, 0.752)
H (0.349, 0.052, 0.118)
H (0.350, 0.849, 0.101)
H (0.650, 0.151, 0.899)
H (0.651, 0.948, 0.882)
H (0.745, 0.989, 0.248)
H (0.792, 0.920, 0.458)
H (0.849, 0.350, 0.601)
H (0.920, 0.792, 0.958)
H (0.948, 0.651, 0.382)
H (0.989, 0.745, 0.748)
C (0.365, 0.397, 0.495)
C (0.397, 0.365, 0.995)
C (0.400, 0.552, 0.002)
C (0.448, 0.600, 0.498)
C (0.552, 0.400, 0.502)
C (0.600, 0.448, 0.998)
C (0.603, 0.635, 0.005)
C (0.635, 0.603, 0.505)
O (0.016, 0.755, 0.903)
O (0.027, 0.602, 0.311)
O (0.199, 0.275, 0.490)
O (0.245, 0.984, 0.597)
O (0.275, 0.199, 0.990)
O (0.284, 0.621, 0.003)
O (0.379, 0.716, 0.497)
O (0.398, 0.973, 0.189)
O (0.602, 0.027, 0.811)
O (0.621, 0.284, 0.503)
O (0.716, 0.379, 0.997)
O (0.725, 0.801, 0.010)
O (0.755, 0.016, 0.403)
O (0.801, 0.725, 0.510)
O (0.973, 0.398, 0.689)
O (0.984, 0.245, 0.097)

Properties
calculated volume	8.6	Å³ per atom
raw total energy	-6.027	eV/atom
SG	C2/c